A relaxed KLaFeWO6 crystal, computed with PBE+U.

Cell lengths 5.657, 5.657, 5.657 Å; angles 60.00, 60.00, 60.00 degrees
Each line ends with the local moment (μB).
Fractional positions:
La 0.250 0.250 0.250  -0.08
O 0.746 0.254 0.746  0.07
O 0.746 0.254 0.254  0.07
O 0.746 0.746 0.254  0.07
O 0.254 0.746 0.746  0.07
O 0.254 0.254 0.746  0.07
O 0.254 0.746 0.254  0.07
Fe 0.000 0.000 0.000  4.15
W 0.500 0.500 0.500  -0.45
K 0.750 0.750 0.750  0.00

Properties
Its calculated total energy is -70.65 eV per cell. The total magnetization comes out at 4.00 μB/f.u. The calculation puts the density of states at the Fermi level at 0.150 states/eV per atom.